# 1
ScTiSb3 PBE relaxed; space group = Pm-3m; DFT total energy = -5.187 eV per atom; V = 143.84 Å³ per cell; mass density = 5.29 Mg/m³
1.0
-3.5122 2.3997 3.0592
-3.8701 -2.5533 -2.4403
0.3732 -3.8955 3.4841
Sc Ti Sb
1 1 3
direct
0.5000 0.5000 0.5000
0.0000 0.0000 0.0000
0.5000 0.0000 0.0000
0.0000 0.5000 0.0000
0.0000 0.0000 0.5000

***

# 2
ThRuPb PBE relaxed; space group = I4/mmm; V = 174.85 Å³ per cell; mass density = 10.26 Mg/m³; formation enthalpy at 0 K = -136 meV per atom
1.0
-3.2399 -1.2835 1.7147
2.0019 -2.9203 1.5966
2.8922 8.7143 7.5889
Pb Ru Th
2 2 2
direct
0.5717 0.5717 0.1435
0.4283 0.4283 0.8565
0.6937 0.6937 0.3874
0.3063 0.3063 0.6126
0.8250 0.8250 0.6500
0.1750 0.1750 0.3500